Density functional theory data (PBE-GGA) for a geometry-optimized CoReTe2 structure.

abc: 3.3194 3.3194 22.8780
angles: 90.00 90.00 120.00
Closest atoms and distances in Å follow each position.
Sites, in units of the cell vectors:
Co (0.0000, 0.0000, 0.0000)  6 Te 2.64
Co (0.3333, 0.6667, 0.6667)  6 Te 2.64
Co (0.6667, 0.3333, 0.3333)  6 Te 2.64
Re (0.0000, 0.0000, 0.5000)  6 Te 2.77
Re (0.3333, 0.6667, 0.1667)  6 Te 2.77
Re (0.6667, 0.3333, 0.8333)  6 Te 2.77
Te (0.0000, 0.0000, 0.2541)  3 Co 2.64, 3 Re 2.77
Te (0.0000, 0.0000, 0.7459)  3 Co 2.64, 3 Re 2.77
Te (0.3333, 0.6667, 0.4125)  3 Co 2.64, 3 Re 2.77
Te (0.3333, 0.6667, 0.9208)  3 Co 2.64, 3 Re 2.77
Te (0.6667, 0.3333, 0.0792)  3 Co 2.64, 3 Re 2.77
Te (0.6667, 0.3333, 0.5875)  3 Co 2.64, 3 Re 2.77

Computed properties:
Formation energy (no corrections) (eV per atom): 0.5367
Density of states at the Fermi level (states/eV/f.u.): 3.46
Symmetry: R-3m
Energy (eV/atom): -5.92
Total magnetization (Bohr magnetons per cell): 1.77

Density functional theory data (PBE-GGA) for a geometry-optimized Ac5Ge2C structure.

abc: 7.3664 7.3664 14.2258
angles: 90.00 90.00 130.31
Closest atoms and distances in Å follow each position.
Sites, in units of the cell vectors:
Ac (0.0565, 0.9435, 0.6224)  1 C 2.65
Ac (0.0565, 0.9435, 0.8776)  1 C 2.65
Ac (0.3030, 0.6970, 0.2500)  2 C 3.10, 2 Ge 3.10
Ac (0.3362, 0.6638, 0.6048)  1 C 2.74
Ac (0.3362, 0.6638, 0.8952)  1 C 2.74
Ac (0.6638, 0.3362, 0.1048)  1 C 2.74
Ac (0.6638, 0.3362, 0.3952)  1 C 2.74
Ac (0.6970, 0.3030, 0.7500)  2 C 3.10, 2 Ge 3.10
Ac (0.9435, 0.0565, 0.1224)  1 C 2.65
Ac (0.9435, 0.0565, 0.3776)  1 C 2.65
Ge (0.1776, 0.8224, 0.0666)  6 Ac 3.10-3.23
Ge (0.1776, 0.8224, 0.4334)  6 Ac 3.10-3.23
Ge (0.8224, 0.1776, 0.5666)  6 Ac 3.10-3.23
Ge (0.8224, 0.1776, 0.9334)  6 Ac 3.10-3.23
C (0.2011, 0.7989, 0.7500)  4 Ac 2.65-2.74
C (0.7989, 0.2011, 0.2500)  4 Ac 2.65-2.74

Computed properties:
Density of states at the Fermi level (states/eV/f.u.): 7.33
Symmetry: Cmcm
Energy (eV/atom): -5.05
E_form (eV per atom): -0.1721
Total magnetization (Bohr magnetons per cell): 0.00

Density functional theory data (PBE-GGA) for a geometry-optimized La8PrHg2 structure.

abc: 8.8572 8.8572 5.9567
angles: 100.32 100.32 118.41
Closest atoms and distances in Å follow each position.
Sites, in units of the cell vectors:
La (0.0858, 0.3055, 0.5957)  2 Hg 3.26-3.43, 2 La 3.33-3.34
La (0.2290, 0.7710, 0.0000)  2 Hg 3.21, 1 Pr 3.49
La (0.3055, 0.0858, 0.5957)  2 Hg 3.26-3.43, 2 La 3.33-3.34
La (0.3980, 0.3980, 0.1941)  1 Pr 3.38, 2 Hg 3.41, 4 La 3.43-3.78
La (0.6020, 0.6020, 0.8059)  1 Pr 3.38, 2 Hg 3.41, 4 La 3.43-3.78
La (0.6945, 0.9142, 0.4043)  2 Hg 3.26-3.43, 2 La 3.33-3.34
La (0.7710, 0.2290, 0.0000)  2 Hg 3.21, 1 Pr 3.49
La (0.9142, 0.6945, 0.4043)  2 Hg 3.26-3.43, 2 La 3.33-3.34
Pr (0.0000, 0.0000, 0.0000)  8 La 3.38-3.76
Hg (0.3069, 0.6931, 0.5000)  8 La 3.21-3.43
Hg (0.6931, 0.3069, 0.5000)  8 La 3.21-3.43

Computed properties:
Density of states at the Fermi level (states/eV/f.u.): 14.02
Symmetry: C2/m
Energy (eV/atom): -4.17
E_form (eV per atom): -0.1000
Total magnetization (Bohr magnetons per cell): 0.00

Density functional theory data (PBE-GGA) for a geometry-optimized Pr2Hf3Ge4 structure.

abc: 7.5067 7.5065 7.3642
angles: 90.00 109.64 90.00
Closest atoms and distances in Å follow each position.
Sites, in units of the cell vectors:
Pr (0.1867, 0.1696, 0.0634)  7 Ge 2.99-3.26
Pr (0.1867, 0.3304, 0.5634)  7 Ge 2.99-3.26
Pr (0.8133, 0.6696, 0.4366)  7 Ge 2.99-3.26
Pr (0.8133, 0.8304, 0.9366)  7 Ge 2.99-3.26
Hf (0.2545, 0.6685, 0.2499)  6 Ge 2.73-2.90
Hf (0.2545, 0.8315, 0.7499)  6 Ge 2.73-2.90
Hf (0.5000, 0.0000, 0.5000)  6 Ge 2.86-2.92
Hf (0.5000, 0.5000, 0.0000)  6 Ge 2.86-2.92
Hf (0.7455, 0.1685, 0.2501)  6 Ge 2.73-2.90
Hf (0.7455, 0.3315, 0.7501)  6 Ge 2.73-2.90
Ge (0.0894, 0.5418, 0.8614)  4 Hf 2.76-2.92, 1 Ge 2.86, 1 Pr 2.99
Ge (0.0894, 0.9582, 0.3614)  4 Hf 2.76-2.92, 1 Ge 2.86, 1 Pr 2.99
Ge (0.4946, 0.1343, 0.8618)  5 Hf 2.73-2.92, 1 Ge 2.85, 1 Pr 2.99
Ge (0.4946, 0.3657, 0.3618)  5 Hf 2.73-2.92, 1 Ge 2.85, 1 Pr 2.99
Ge (0.5054, 0.6343, 0.6382)  5 Hf 2.73-2.92, 1 Ge 2.85, 1 Pr 2.99
Ge (0.5054, 0.8657, 0.1382)  5 Hf 2.73-2.92, 1 Ge 2.85, 1 Pr 2.99
Ge (0.9106, 0.0418, 0.6386)  4 Hf 2.76-2.92, 1 Ge 2.86, 1 Pr 2.99
Ge (0.9106, 0.4582, 0.1386)  4 Hf 2.76-2.92, 1 Ge 2.86, 1 Pr 2.99

Computed properties:
Density of states at the Fermi level (states/eV/f.u.): 7.03
Symmetry: P2_1/c
Energy (eV/atom): -7.22
E_form (eV per atom): -0.7831
Total magnetization (Bohr magnetons per cell): 0.00

Density functional theory data (PBE-GGA) for a geometry-optimized Sr2ZrNi structure.

abc: 3.5045 3.9560 18.5499
angles: 90.00 90.00 90.00
Closest atoms and distances in Å follow each position.
Sites, in units of the cell vectors:
Sr (0.0000, 0.0000, 0.1548)  2 Ni 3.36, 2 Zr 3.49, 2 Sr 3.50
Sr (0.0000, 0.0000, 0.8452)  2 Ni 3.36, 2 Zr 3.49, 2 Sr 3.50
Sr (0.5000, 0.5000, 0.3452)  2 Ni 3.36, 2 Zr 3.49, 2 Sr 3.50
Sr (0.5000, 0.5000, 0.6548)  2 Ni 3.36, 2 Zr 3.49, 2 Sr 3.50
Zr (0.0000, 0.5000, 0.0000)  4 Ni 2.64
Zr (0.5000, 0.0000, 0.5000)  4 Ni 2.64
Ni (0.0000, 0.5000, 0.5000)  4 Zr 2.64
Ni (0.5000, 0.0000, 0.0000)  4 Zr 2.64

Computed properties:
Density of states at the Fermi level (states/eV/f.u.): 5.54
Symmetry: Immm
Energy (eV/atom): -4.24
E_form (eV per atom): 0.1835
Total magnetization (Bohr magnetons per cell): 2.02

Density functional theory data (PBE-GGA) for a geometry-optimized Zr2NiI2 structure.

abc: 7.9832 7.9832 3.5458
angles: 90.00 90.00 90.00
Closest atoms and distances in Å follow each position.
Sites, in units of the cell vectors:
Zr (0.1542, 0.3458, 0.0000)  6 I 2.86-2.99
Zr (0.3458, 0.8458, 0.0000)  6 I 2.86-2.99
Zr (0.6542, 0.1542, 0.0000)  6 I 2.86-2.99
Zr (0.8458, 0.6542, 0.0000)  6 I 2.86-2.99
Ni (0.0000, 0.0000, 0.5000)  4 I 3.05
Ni (0.5000, 0.5000, 0.5000)  4 I 3.05
I (0.1472, 0.6472, 0.5000)  6 Zr 2.86-2.99, 2 Ni 3.05
I (0.3528, 0.1472, 0.5000)  6 Zr 2.86-2.99, 2 Ni 3.05
I (0.6472, 0.8528, 0.5000)  6 Zr 2.86-2.99, 2 Ni 3.05
I (0.8528, 0.3528, 0.5000)  6 Zr 2.86-2.99, 2 Ni 3.05

Computed properties:
Formation energy (no corrections) (eV per atom): 0.4008
Density of states at the Fermi level (states/eV/f.u.): 4.89
Symmetry: P4/mbm
Energy (eV/atom): -4.79
Total magnetization (Bohr magnetons per cell): 0.00

Density functional theory data (PBE-GGA) for a geometry-optimized Tc8P structure.

abc: 6.0974 6.0974 6.0974
angles: 95.75 95.75 143.09
Closest atoms and distances in Å follow each position.
Sites, in units of the cell vectors:
Tc (0.0000, 0.3382, 0.3382)  11 Tc 2.65-2.75, 1 P 2.77
Tc (0.0000, 0.6618, 0.6618)  11 Tc 2.65-2.75, 1 P 2.77
Tc (0.3308, 0.3308, 0.6617)  10 Tc 2.69-2.77, 2 P 2.75
Tc (0.3308, 0.6692, 0.0000)  10 Tc 2.69-2.77, 2 P 2.75
Tc (0.3382, 0.0000, 0.3382)  11 Tc 2.65-2.75, 1 P 2.77
Tc (0.6618, 0.0000, 0.6618)  11 Tc 2.65-2.75, 1 P 2.77
Tc (0.6692, 0.3308, 0.0000)  10 Tc 2.69-2.77, 2 P 2.75
Tc (0.6692, 0.6692, 0.3383)  10 Tc 2.69-2.77, 2 P 2.75
P (0.0000, 0.0000, 0.0000)  12 Tc 2.75-2.77

Computed properties:
Density of states at the Fermi level (states/eV/f.u.): 8.69
Symmetry: I4/mmm
Energy (eV/atom): -9.81
E_form (eV per atom): 0.0094
Total magnetization (Bohr magnetons per cell): 0.00

Density functional theory data (PBE-GGA) for a geometry-optimized HgW structure.

abc: 4.7702 3.0407 16.2533
angles: 90.00 90.00 90.00
Closest atoms and distances in Å follow each position.
Sites, in units of the cell vectors:
Hg (0.0000, 0.0000, 0.0000)  4 Hg 2.95-3.04, 6 W 2.98-3.10
Hg (0.0000, 0.0000, 0.3147)  4 W 2.97-3.03, 6 Hg 3.04-3.10
Hg (0.0000, 0.5000, 0.5000)  4 Hg 2.95-3.04, 6 W 2.98-3.10
Hg (0.0000, 0.5000, 0.8147)  4 W 2.97-3.03, 6 Hg 3.04-3.10
Hg (0.5000, 0.0000, 0.8932)  8 Hg 2.95-3.10
Hg (0.5000, 0.5000, 0.3932)  8 Hg 2.95-3.10
W (0.0000, 0.0000, 0.6579)  6 W 2.71-2.91, 4 Hg 2.97-2.98
W (0.0000, 0.5000, 0.1579)  6 W 2.71-2.91, 4 Hg 2.97-2.98
W (0.5000, 0.0000, 0.1994)  2 W 2.49
W (0.5000, 0.0000, 0.5781)  4 W 2.49-2.71
W (0.5000, 0.5000, 0.0781)  4 W 2.49-2.71
W (0.5000, 0.5000, 0.6994)  2 W 2.49

Computed properties:
Density of states at the Fermi level (states/eV/f.u.): 1.35
Symmetry: Amm2
Energy (eV/atom): -5.97
E_form (eV per atom): 0.6577
Total magnetization (Bohr magnetons per cell): 0.00

Density functional theory data (PBE-GGA) for a geometry-optimized CaCdPd structure.

abc: 6.7313 6.7313 6.7313
angles: 90.00 90.00 90.00
Closest atoms and distances in Å follow each position.
Sites, in units of the cell vectors:
Ca (0.0000, 0.0000, 0.0000)  4 Pd 2.91
Ca (0.0000, 0.5000, 0.5000)  4 Pd 2.91
Ca (0.5000, 0.0000, 0.5000)  4 Pd 2.91
Ca (0.5000, 0.5000, 0.0000)  4 Pd 2.91
Cd (0.0000, 0.0000, 0.5000)  4 Pd 2.91
Cd (0.0000, 0.5000, 0.0000)  4 Pd 2.91
Cd (0.5000, 0.0000, 0.0000)  4 Pd 2.91
Cd (0.5000, 0.5000, 0.5000)  4 Pd 2.91
Pd (0.2500, 0.2500, 0.7500)  4 Cd 2.91, 4 Ca 2.91
Pd (0.2500, 0.7500, 0.2500)  4 Cd 2.91, 4 Ca 2.91
Pd (0.7500, 0.2500, 0.2500)  4 Cd 2.91, 4 Ca 2.91
Pd (0.7500, 0.7500, 0.7500)  4 Cd 2.91, 4 Ca 2.91

Computed properties:
Density of states at the Fermi level (states/eV/f.u.): 0.62
Symmetry: F-43m
Energy (eV/atom): -3.20
E_form (eV per atom): -0.4933
Total magnetization (Bohr magnetons per cell): 0.00

Density functional theory data (PBE-GGA) for a geometry-optimized CsHg2Se2 structure.

abc: 5.2568 5.2568 10.8807
angles: 90.00 90.00 90.00
Closest atoms and distances in Å follow each position.
Sites, in units of the cell vectors:
Cs (0.0000, 0.0000, 0.0000)  8 Se 3.78, 10 Hg 3.98-4.03
Cs (0.5000, 0.5000, 0.5000)  8 Se 3.78, 10 Hg 3.98-4.03
Hg (0.0000, 0.0000, 0.3703)  1 Hg 2.82, 4 Se 2.94
Hg (0.0000, 0.0000, 0.6297)  1 Hg 2.82, 4 Se 2.94
Hg (0.5000, 0.5000, 0.1297)  1 Hg 2.82, 4 Se 2.94
Hg (0.5000, 0.5000, 0.8703)  1 Hg 2.82, 4 Se 2.94
Se (0.0000, 0.5000, 0.2500)  4 Hg 2.94
Se (0.0000, 0.5000, 0.7500)  4 Hg 2.94
Se (0.5000, 0.0000, 0.2500)  4 Hg 2.94
Se (0.5000, 0.0000, 0.7500)  4 Hg 2.94

Computed properties:
Formation energy (no corrections) (eV per atom): -0.3829
Density of states at the Fermi level (states/eV/f.u.): 3.46
Symmetry: I4/mmm
Energy (eV/atom): -2.07
Total magnetization (Bohr magnetons per cell): 0.00

Density functional theory data (PBE-GGA) for a geometry-optimized Ac3Si5Ni6 structure.

abc: 3.9728 11.9621 10.9458
angles: 90.00 90.00 90.00
Closest atoms and distances in Å follow each position.
Sites, in units of the cell vectors:
Ac (0.2500, 0.0819, 0.2417)  8 Ni 3.22-3.47, 6 Si 3.27-3.35
Ac (0.2500, 0.4181, 0.2417)  8 Ni 3.22-3.47, 6 Si 3.27-3.35
Ac (0.2500, 0.7500, 0.2590)  6 Si 3.17-3.20, 6 Ni 3.32-3.41
Ac (0.7500, 0.2500, 0.7410)  6 Si 3.17-3.20, 6 Ni 3.32-3.41
Ac (0.7500, 0.5819, 0.7583)  8 Ni 3.22-3.47, 6 Si 3.27-3.35
Ac (0.7500, 0.9181, 0.7583)  8 Ni 3.22-3.47, 6 Si 3.27-3.35
Si (0.2500, 0.0826, 0.6025)  4 Ni 2.28-2.31
Si (0.2500, 0.4174, 0.6025)  4 Ni 2.28-2.31
Si (0.2500, 0.6382, 0.9964)  5 Ni 2.31-2.40
Si (0.2500, 0.7500, 0.6074)  4 Ni 2.29-2.30
Si (0.2500, 0.8618, 0.9964)  5 Ni 2.31-2.40
Si (0.7500, 0.1382, 0.0036)  5 Ni 2.31-2.40
Si (0.7500, 0.2500, 0.3926)  4 Ni 2.29-2.30
Si (0.7500, 0.3618, 0.0036)  5 Ni 2.31-2.40
Si (0.7500, 0.5826, 0.3975)  4 Ni 2.28-2.31
Si (0.7500, 0.9174, 0.3975)  4 Ni 2.28-2.31
Ni (0.2500, 0.0482, 0.9415)  3 Si 2.31-2.36, 1 Ni 2.48
Ni (0.2500, 0.2500, 0.4973)  4 Si 2.29-2.31
Ni (0.2500, 0.2500, 0.9944)  4 Si 2.40, 2 Ni 2.48
Ni (0.2500, 0.4518, 0.9415)  3 Si 2.31-2.36, 1 Ni 2.48
Ni (0.2500, 0.5838, 0.5014)  4 Si 2.28-2.30
Ni (0.2500, 0.9162, 0.5014)  4 Si 2.28-2.30
Ni (0.7500, 0.0838, 0.4986)  4 Si 2.28-2.30
Ni (0.7500, 0.4162, 0.4986)  4 Si 2.28-2.30
Ni (0.7500, 0.5482, 0.0585)  3 Si 2.31-2.36, 1 Ni 2.48
Ni (0.7500, 0.7500, 0.0056)  4 Si 2.40, 2 Ni 2.48
Ni (0.7500, 0.7500, 0.5027)  4 Si 2.29-2.31
Ni (0.7500, 0.9518, 0.0585)  3 Si 2.31-2.36, 1 Ni 2.48

Computed properties:
Formation energy (no corrections) (eV per atom): -0.6120
Density of states at the Fermi level (states/eV/f.u.): 8.87
Symmetry: Pmmn
Energy (eV/atom): -5.91
Total magnetization (Bohr magnetons per cell): 0.00

Density functional theory data (PBE-GGA) for a geometry-optimized Lu2PtBr structure.

abc: 4.1884 4.1884 24.5692
angles: 90.00 90.00 120.00
Closest atoms and distances in Å follow each position.
Sites, in units of the cell vectors:
Lu (0.0000, 0.0000, 0.1124)  3 Pt 2.76, 1 Br 2.76
Lu (0.0000, 0.0000, 0.8876)  3 Pt 2.76, 1 Br 2.76
Lu (0.3333, 0.6667, 0.5542)  3 Pt 2.76, 1 Br 2.76
Lu (0.3333, 0.6667, 0.7791)  3 Pt 2.76, 1 Br 2.76
Lu (0.6667, 0.3333, 0.2209)  3 Pt 2.76, 1 Br 2.76
Lu (0.6667, 0.3333, 0.4458)  3 Pt 2.76, 1 Br 2.76
Pt (0.0000, 0.0000, 0.5000)  6 Lu 2.76
Pt (0.3333, 0.6667, 0.1667)  6 Lu 2.76
Pt (0.6667, 0.3333, 0.8333)  6 Lu 2.76
Br (0.0000, 0.0000, 0.0000)  2 Lu 2.76
Br (0.3333, 0.6667, 0.6667)  2 Lu 2.76
Br (0.6667, 0.3333, 0.3333)  2 Lu 2.76

Computed properties:
Formation energy (no corrections) (eV per atom): -1.2313
Density of states at the Fermi level (states/eV/f.u.): 1.72
Symmetry: R-3m
Energy (eV/atom): -5.42
Total magnetization (Bohr magnetons per cell): 0.00